# Y2FeCl

Crystalline Y2FeCl at its relaxed geometry (PBEsol, Alexandria).

abc: 3.651 4.099 5.514
angles: 90.00 90.00 90.00
Space group Pmmm (No. 47)
Inequivalent atoms, fractional coordinates:
1 Y 0.000 0.000 0.000 x1
2 Y 0.500 0.500 0.500 x1
3 Fe 0.000 0.000 0.500 x1
4 Cl 0.500 0.500 0.000 x1

Properties
The distance to the lowest polymorph of the same formula is 0 meV per atom. The formation energy from raw total energies is -0.504 eV per atom.

=====

# LiFePO4

Crystalline LiFePO4 at its relaxed geometry (PBEsol, Alexandria).

abc: 5.602 8.224 6.138
angles: 90.00 90.00 90.00
Space group Cmcm (No. 63)
Inequivalent atoms, fractional coordinates:
1 Li 0.000 0.000 0.000 x4
2 Fe 0.000 0.320 0.250 x4
3 P 0.000 0.354 0.750 x4
4 O 0.000 0.244 0.546 x8
5 O 0.221 0.470 0.750 x8

Properties
The distance to the lowest polymorph of the same formula is 42 meV per atom. The formation energy from raw total energies is -1.870 eV per atom.

=====

# BiTePS2

Crystalline BiTePS2 at its relaxed geometry (PBEsol, Alexandria).

abc: 5.030 5.030 5.306
angles: 90.00 90.00 90.00
Space group P4/mmm (No. 123)
Inequivalent atoms, fractional coordinates:
1 Bi 0.000 0.000 0.000 x1
2 Te 0.500 0.500 0.500 x1
3 P 0.000 0.000 0.500 x1
4 S 0.000 0.500 0.000 x2

Properties
The distance to the lowest polymorph of the same formula is 303 meV per atom. The formation energy from raw total energies is 0.888 eV per atom.

=====

# As2WSeBr

Crystalline As2WSeBr at its relaxed geometry (PBEsol, Alexandria).

abc: 4.929 4.929 4.881
angles: 90.00 90.00 90.00
Space group P4/mmm (No. 123)
Inequivalent atoms, fractional coordinates:
1 As 0.000 0.500 0.000 x2
2 W 0.000 0.000 0.500 x1
3 Se 0.500 0.500 0.000 x1
4 Br 0.500 0.500 0.500 x1

Properties
The formation energy from raw total energies is 1.649 eV per atom.

=====

# Ti2GaRuPb

Crystalline Ti2GaRuPb at its relaxed geometry (PBEsol, Alexandria).

abc: 5.034 5.034 4.832
angles: 90.00 90.00 90.00
Space group P4/mmm (No. 123)
Inequivalent atoms, fractional coordinates:
1 Ti 0.000 0.500 0.000 x2
2 Ga 0.000 0.000 0.500 x1
3 Ru 0.500 0.500 0.500 x1
4 Pb 0.000 0.000 0.000 x1

Properties
Its calculated formation energy is 178.09 kJ/mol of atoms.

=====

# Y3Be

Crystalline Y3Be at its relaxed geometry (PBEsol, Alexandria).

abc: 3.6313 3.6313 9.3519
angles: 90.00 90.00 120.00
Space group P-6m2 (No. 187)
Inequivalent atoms, fractional coordinates:
1 Y 0.0000 0.0000 0.0000 x1
2 Y 0.3333 0.6667 0.3000 x2
3 Be 0.0000 0.0000 0.5000 x1

Properties
The distance to the lowest polymorph of the same formula is 0 meV per atom. Its calculated formation energy is 22.65 kJ/mol of atoms.

=====

# BaScHg2

Crystalline BaScHg2 at its relaxed geometry (PBEsol, Alexandria).

abc: 3.623 3.623 7.997
angles: 90.00 90.00 90.00
Space group P4/mmm (No. 123)
Inequivalent atoms, fractional coordinates:
1 Ba 0.000 0.000 0.000 x1
2 Sc 0.000 0.000 0.500 x1
3 Hg 0.500 0.500 0.304 x2

Properties
Its calculated formation energy is -47.13 kJ/mol of atoms.

=====

# Co3Ir

Crystalline Co3Ir at its relaxed geometry (PBEsol, Alexandria).

abc: 2.572 8.126 4.380
angles: 90.00 90.00 90.00
Space group Imm2 (No. 44)
Inequivalent atoms, fractional coordinates:
1 Co 0.000 0.000 0.000 x2
2 Co 0.000 0.253 0.663 x4
3 Ir 0.000 0.500 0.004 x2

Properties
Its calculated formation energy is 1.60 kJ/mol of atoms.

=====

In μB/atom, the magnetization values for the records above are, in order, 0.296 0.571 0.000 0.588 0.057 0.001 0.000 1.243.